A plane-wave DFT calculation with PBE-GGA was carried out for CaTaBiO6 after structural relaxation.

## Properties
space group	P-31c
theoretical density	6.61	g/cm³
volume	264.2	Å³ per cell
formation energy (no corrections)	-205	kJ per mole of atoms
total magnetization	0.0	Bohr magnetons per cell

a b c (Å): 5.4959 5.4959 10.1015
angles (deg): 90.00 90.00 120.00
With the nearest neighbours (Å) after each atom.
Sites, in units of the cell vectors:
O: 0.6245 0.6424 0.6382  1 Ta 2.02, 1 Bi 2.15
O: 0.3755 0.3576 0.3618  1 Ta 2.02, 1 Bi 2.15
Ca: 0.0000 0.0000 0.5000  6 O 2.45
O: 0.6424 0.0179 0.3618  1 Ta 2.02, 1 Bi 2.15
O: 0.3576 0.3755 0.8618  1 Ta 2.02, 1 Bi 2.15
Bi: 0.3333 0.6667 0.2500  6 O 2.15
Bi: 0.6667 0.3333 0.7500  6 O 2.15
O: 0.0179 0.3755 0.6382  1 Ta 2.02, 1 Bi 2.15
O: 0.6424 0.6245 0.1382  1 Ta 2.02, 1 Bi 2.15
Ta: 0.3333 0.6667 0.7500  6 O 2.02
Ta: 0.6667 0.3333 0.2500  6 O 2.02
O: 0.9821 0.3576 0.1382  1 Ta 2.02, 1 Bi 2.15
O: 0.6245 0.9821 0.8618  1 Ta 2.02, 1 Bi 2.15
O: 0.9821 0.6245 0.3618  1 Ta 2.02, 1 Bi 2.15
Ca: 0.0000 0.0000 0.0000  6 O 2.45
O: 0.0179 0.6424 0.8618  1 Ta 2.02, 1 Bi 2.15
O: 0.3755 0.0179 0.1382  1 Ta 2.02, 1 Bi 2.15
O: 0.3576 0.9821 0.6382  1 Ta 2.02, 1 Bi 2.15

---

A plane-wave DFT calculation with PBE-GGA was carried out for CaGe2SeCl after structural relaxation.

## Properties
space group	P4/mmm
theoretical density	3.75	g/cm³
volume	132.7	Å³ per cell
formation energy (no corrections)	5	kJ per mole of atoms
total magnetization	0.0	Bohr magnetons per cell

a b c (Å): 4.9905 5.3262 4.9905
angles (deg): 90.00 90.00 90.00
With the nearest neighbours (Å) after each atom.
Sites, in units of the cell vectors:
Se: 0.5000 0.5000 0.5000  4 Ca 3.53, 8 Ge 3.65
Ge: 0.0000 0.0000 0.5000  2 Cl 2.50
Cl: 0.0000 0.0000 0.0000  4 Ge 2.50, 2 Ca 2.66
Ca: 0.0000 0.5000 0.0000  2 Cl 2.66
Ge: 0.5000 0.0000 0.0000  2 Cl 2.50

---

A plane-wave DFT calculation with PBE-GGA was carried out for SrAlBrCl4 after structural relaxation.

## Properties
space group	C2/m
theoretical density	2.35	g/cm³
volume	476.0	Å³ per cell
formation energy (no corrections)	-175	kJ per mole of atoms
total magnetization	0.1	Bohr magnetons per cell

a b c (Å): 7.6094 7.6094 8.6968
angles (deg): 78.65 78.65 77.67
With the nearest neighbours (Å) after each atom.
Sites, in units of the cell vectors:
Cl: 0.1538 0.5056 0.1210  1 Al 2.19
Br: 0.0289 0.0289 0.2054  2 Sr 2.95-2.96
Br: 0.9711 0.9711 0.7946  2 Sr 2.95-2.96
Sr: 0.1942 0.1942 0.8887  2 Br 2.95-2.96, 3 Cl 3.11-3.13
Cl: 0.4605 0.4605 0.7188  1 Al 2.15
Sr: 0.8058 0.8058 0.1113  2 Br 2.95-2.96, 3 Cl 3.11-3.13
Al: 0.6387 0.6387 0.7332  4 Cl 2.13-2.19
Cl: 0.7582 0.7582 0.5048  1 Al 2.13
Cl: 0.8462 0.4944 0.8790  1 Al 2.19
Cl: 0.4944 0.8462 0.8790  1 Al 2.19
Cl: 0.5056 0.1538 0.1210  1 Al 2.19
Al: 0.3613 0.3613 0.2668  4 Cl 2.13-2.19
Cl: 0.2418 0.2418 0.4952  1 Al 2.13
Cl: 0.5395 0.5395 0.2812  1 Al 2.15